Record 1
## ErLuPdPb (GGA-PBE)

Data for crystalline ErLuPdPb at its relaxed geometry.

D(E_F) ... 0.39 states/eV/atom
ΔE_f ... -0.611 eV per atom
DFT total energy ... -81.7 eV/cell

Cell: 7.2711 7.2711 7.2711 Å, 90.00 90.00 90.00°
With the nearest neighbours (Å) after each atom.
Space group F-43m (No. 216)
Symmetry-distinct sites (fractional):
Er: 0.0000 0.0000 0.0000 (multiplicity 4)  4 Pb 3.15, 4 Pd 3.15
Lu: 0.0000 0.0000 0.5000 (multiplicity 4)  4 Pb 3.15, 4 Pd 3.15
Pd: 0.2500 0.2500 0.7500 (multiplicity 4)  4 Er 3.15, 4 Lu 3.15
Pb: 0.2500 0.2500 0.2500 (multiplicity 4)  4 Er 3.15, 4 Lu 3.15

Record 2
## PmErLuPb (GGA-PBE)

Data for crystalline PmErLuPb at its relaxed geometry.

D(E_F) ... 1.82 states/eV/atom
ΔE_f ... -0.110 eV per atom
DFT total energy ... -71.9 eV/cell

Cell: 7.7536 7.7536 7.7536 Å, 90.00 90.00 90.00°
With the nearest neighbours (Å) after each atom.
Space group F-43m (No. 216)
Symmetry-distinct sites (fractional):
Pm: 0.0000 0.0000 0.0000 (multiplicity 4)  4 Lu 3.36, 4 Pb 3.36
Er: 0.0000 0.0000 0.5000 (multiplicity 4)  4 Pb 3.36, 4 Lu 3.36
Lu: 0.2500 0.2500 0.7500 (multiplicity 4)  4 Er 3.36, 4 Pm 3.36
Pb: 0.2500 0.2500 0.2500 (multiplicity 4)  4 Er 3.36, 4 Pm 3.36

Record 3
## ErLuRhPb (GGA-PBE)

Data for crystalline ErLuRhPb at its relaxed geometry.

D(E_F) ... 0.76 states/eV/atom
ΔE_f ... -0.529 eV per atom
DFT total energy ... -89.0 eV/cell

Cell: 7.1779 7.1779 7.1779 Å, 90.00 90.00 90.00°
With the nearest neighbours (Å) after each atom.
Space group F-43m (No. 216)
Symmetry-distinct sites (fractional):
Er: 0.0000 0.0000 0.0000 (multiplicity 4)  4 Pb 3.11, 4 Rh 3.11
Lu: 0.0000 0.0000 0.5000 (multiplicity 4)  4 Rh 3.11, 4 Pb 3.11
Rh: 0.2500 0.2500 0.7500 (multiplicity 4)  4 Er 3.11, 4 Lu 3.11
Pb: 0.2500 0.2500 0.2500 (multiplicity 4)  4 Er 3.11, 4 Lu 3.11

Record 4
## ErLuSnPb (GGA-PBE)

Data for crystalline ErLuSnPb at its relaxed geometry.

D(E_F) ... 0.63 states/eV/atom
ΔE_f ... -0.405 eV per atom
DFT total energy ... -73.7 eV/cell

Cell: 7.5650 7.5650 7.5650 Å, 90.00 90.00 90.00°
With the nearest neighbours (Å) after each atom.
Space group F-43m (No. 216)
Symmetry-distinct sites (fractional):
Er: 0.0000 0.0000 0.0000 (multiplicity 4)  4 Sn 3.28, 4 Pb 3.28
Lu: 0.0000 0.0000 0.5000 (multiplicity 4)  4 Pb 3.28, 4 Sn 3.28
Sn: 0.2500 0.2500 0.7500 (multiplicity 4)  4 Er 3.28, 4 Lu 3.28
Pb: 0.2500 0.2500 0.2500 (multiplicity 4)  4 Er 3.28, 4 Lu 3.28

Record 5
## ErLuZnPb (GGA-PBE)

Data for crystalline ErLuZnPb at its relaxed geometry.

D(E_F) ... 0.88 states/eV/atom
ΔE_f ... -0.311 eV per atom
DFT total energy ... -61.2 eV/cell

Cell: 7.3193 7.3193 7.3193 Å, 90.00 90.00 90.00°
With the nearest neighbours (Å) after each atom.
Space group F-43m (No. 216)
Symmetry-distinct sites (fractional):
Er: 0.0000 0.0000 0.0000 (multiplicity 4)  4 Zn 3.17, 4 Pb 3.17
Lu: 0.0000 0.0000 0.5000 (multiplicity 4)  4 Pb 3.17, 4 Zn 3.17
Zn: 0.2500 0.2500 0.7500 (multiplicity 4)  4 Er 3.17, 4 Lu 3.17
Pb: 0.2500 0.2500 0.2500 (multiplicity 4)  4 Er 3.17, 4 Lu 3.17

Record 6
## ErLuPd2 (GGA-PBE)

Data for crystalline ErLuPd2 at its relaxed geometry.

D(E_F) ... 0.89 states/eV/atom
ΔE_f ... -0.757 eV per atom
DFT total energy ... -67.5 eV/cell

Cell: 4.0296 4.0296 19.6539 Å, 90.00 90.00 120.00°
With the nearest neighbours (Å) after each atom.
Space group R-3m (No. 166, hexagonal axes)
Symmetry-distinct sites (fractional):
Er: 0.0000 0.0000 0.0000 (multiplicity 3)  6 Pd 2.87
Lu: 0.0000 0.0000 0.5000 (multiplicity 3)  6 Pd 2.82
Pd: 0.0000 0.0000 0.2482 (multiplicity 6)  3 Lu 2.82, 3 Er 2.87

Record 7
## ErLuPd2 (GGA-PBE)

Data for crystalline ErLuPd2 at its relaxed geometry.

D(E_F) ... 0.50 states/eV/atom
ΔE_f ... -0.949 eV per atom
DFT total energy ... -93.1 eV/cell

Cell: 6.9226 6.9226 6.9226 Å, 90.00 90.00 90.00°
With the nearest neighbours (Å) after each atom.
Space group Fm-3m (No. 225)
Symmetry-distinct sites (fractional):
Er: 0.0000 0.0000 0.0000 (multiplicity 4)  8 Pd 3.00
Lu: 0.0000 0.0000 0.5000 (multiplicity 4)  8 Pd 3.00
Pd: 0.2500 0.2500 0.2500 (multiplicity 8)  4 Er 3.00, 4 Lu 3.00

Record 8
## ErLuPd (GGA-PBE)

Data for crystalline ErLuPd at its relaxed geometry.

D(E_F) ... 0.97 states/eV/atom
ΔE_f ... -0.424 eV per atom
DFT total energy ... -15.6 eV/cell

Cell: 4.7579 4.7579 3.6568 Å, 90.00 90.00 120.00°
With the nearest neighbours (Å) after each atom.
Space group P3m1 (No. 156)
Symmetry-distinct sites (fractional):
Er: 0.0000 0.0000 0.0000 (multiplicity 1)  3 Pd 2.94, 3 Lu 3.24
Lu: 0.3333 0.6667 0.5296 (multiplicity 1)  3 Pd 2.89
Pd: 0.6667 0.3333 0.2874 (multiplicity 1)  3 Lu 2.89, 3 Er 2.94